1.
Hf2ReB after structural relaxation, computed with GGA-PBE.

The calculation puts the energy of formation from the pure elements at 0.1803 eV/atom. The space group is I-42d (122). The spin magnetization comes out at 0.00 μB/f.u.

Lattice parameters (Å, degrees): 6.3466 6.3466 6.3466 96.01 96.01 142.25
With the nearest neighbours (Å) after each atom.
Atoms (fractional coordinates):
Hf (0.3750, 0.2327, 0.3577)  2 B 2.37
Hf (0.7673, 0.1250, 0.1423)  2 B 2.37
Hf (0.8750, 0.0173, 0.6423)  2 B 2.37
Hf (0.9827, 0.6250, 0.8577)  2 B 2.37
Re (0.2500, 0.7500, 0.5000)  2 B 2.05
Re (0.5000, 0.5000, 0.0000)  2 B 2.05
B (0.0000, 0.0000, 0.0000)  2 Re 2.05
B (0.7500, 0.2500, 0.5000)  2 Re 2.05



2.
HfReB3 after structural relaxation, computed with GGA-PBE.

The calculation puts the energy of formation from the pure elements at 0.5383 eV/atom. The space group is Pm-3m (221). The spin magnetization comes out at 0.00 μB/f.u.

Lattice parameters (Å, degrees): 4.0328 4.0328 4.0328 90.00 90.00 90.00
With the nearest neighbours (Å) after each atom.
Atoms (fractional coordinates):
Hf (0.0000, 0.0000, 0.0000)  12 B 2.85
Re (0.5000, 0.5000, 0.5000)  6 B 2.02
B (0.0000, 0.5000, 0.5000)  2 Re 2.02
B (0.5000, 0.0000, 0.5000)  2 Re 2.02
B (0.5000, 0.5000, 0.0000)  2 Re 2.02



3.
Hf3ReB after structural relaxation, computed with GGA-PBE.

The calculation puts the energy of formation from the pure elements at 1.4627 eV/atom. The space group is Pm-3m (221). The spin magnetization comes out at 0.00 μB/f.u.

Lattice parameters (Å, degrees): 4.9874 4.9874 4.9874 90.00 90.00 90.00
With the nearest neighbours (Å) after each atom.
Atoms (fractional coordinates):
Hf (0.0000, 0.0000, 0.5000)  2 Re 2.49
Hf (0.0000, 0.5000, 0.0000)  2 Re 2.49
Hf (0.5000, 0.0000, 0.0000)  2 Re 2.49
Re (0.0000, 0.0000, 0.0000)  6 Hf 2.49
B (0.5000, 0.5000, 0.5000)  12 Hf 3.53



> Which value of spin magnetization does entry 3 give?

0.00 μB/f.u.



> The lowest energy of formation from the pure elements belongs to which entry?

Hf2ReB



> Among the records above, which one has the lowest energy of formation from the pure elements?

Hf2ReB



> Number 2 is which compound?

HfReB3